No. 1
# Ba3Fe5Se12 (PBE, relaxed)
data_Ba3Fe5Se12
_chemical_formula_sum 'Ba12 Fe20 Se48'
_symmetry_space_group_name_H-M 'P 1'
_symmetry_Int_Tables_number 1
_cell_length_a 13.959
_cell_length_b 13.959
_cell_length_c 13.959
_cell_angle_alpha 109.47
_cell_angle_beta 109.47
_cell_angle_gamma 109.47
loop_
_symmetry_equiv_pos_as_xyz
'x,y,z'
loop_
_atom_site_label
_atom_site_fract_x
_atom_site_fract_y
_atom_site_fract_z
_atom_site_occupancy
Se1 0.682 0.189 0.587 1
Ba1 0.625 0.250 0.375 1
Ba2 0.125 0.250 0.875 1
Se2 0.906 0.087 0.899 1
Se3 0.399 0.406 0.087 1
Fe1 0.500 0.000 0.000 1
Ba3 0.875 0.125 0.250 1
Se4 0.601 0.594 0.913 1
Se5 0.811 0.318 0.913 1
Ba4 0.250 0.625 0.875 1
Fe2 0.250 0.375 0.625 1
Se6 0.913 0.094 0.601 1
Ba5 0.750 0.375 0.125 1
Se7 0.913 0.818 0.811 1
Se8 0.182 0.087 0.689 1
Fe3 0.000 0.000 0.500 1
Se9 0.587 0.899 0.406 1
Fe4 0.375 0.250 0.125 1
Fe5 0.875 0.625 0.750 1
Ba6 0.250 0.125 0.375 1
Se10 0.094 0.913 0.101 1
Se11 0.993 0.399 0.311 1
Se12 0.682 0.493 0.594 1
Se13 0.087 0.906 0.399 1
Fe6 0.875 0.250 0.625 1
Fe7 0.000 0.500 0.000 1
Fe8 0.500 0.500 0.500 1
Se14 0.906 0.818 0.507 1
Ba7 0.875 0.750 0.125 1
Se15 0.818 0.913 0.311 1
Se16 0.087 0.182 0.189 1
Se17 0.311 0.899 0.993 1
Se18 0.493 0.682 0.094 1
Fe9 0.500 0.000 0.500 1
Se19 0.689 0.101 0.007 1
Se20 0.594 0.993 0.682 1
Se21 0.101 0.689 0.507 1
Se22 0.899 0.311 0.493 1
Se23 0.399 0.993 0.811 1
Se24 0.818 0.906 0.007 1
Se25 0.189 0.507 0.601 1
Se26 0.406 0.007 0.318 1
Se27 0.101 0.413 0.094 1
Fe10 0.250 0.875 0.125 1
Se28 0.007 0.406 0.818 1
Se29 0.413 0.101 0.594 1
Se30 0.594 0.601 0.413 1
Se31 0.094 0.182 0.493 1
Ba8 0.375 0.625 0.250 1
Se32 0.311 0.413 0.818 1
Se33 0.182 0.094 0.993 1
Ba9 0.125 0.875 0.750 1
Se34 0.007 0.601 0.689 1
Fe11 0.500 0.500 0.000 1
Se35 0.318 0.507 0.406 1
Fe12 0.125 0.750 0.375 1
Fe13 0.625 0.875 0.250 1
Fe14 0.750 0.125 0.875 1
Ba10 0.750 0.875 0.625 1
Fe15 0.375 0.125 0.750 1
Se36 0.507 0.189 0.101 1
Se37 0.493 0.811 0.899 1
Se38 0.993 0.594 0.182 1
Fe16 0.000 0.000 0.000 1
Fe17 0.625 0.750 0.875 1
Se39 0.318 0.811 0.413 1
Fe18 0.125 0.375 0.250 1
Se40 0.899 0.587 0.906 1
Fe19 0.000 0.500 0.500 1
Se41 0.189 0.682 0.087 1
Se42 0.507 0.318 0.906 1
Se43 0.406 0.399 0.587 1
Fe20 0.750 0.625 0.375 1
Se44 0.587 0.689 0.682 1
Se45 0.689 0.587 0.182 1
Ba11 0.625 0.375 0.750 1
Se46 0.413 0.311 0.318 1
Ba12 0.375 0.750 0.625 1
Se47 0.811 0.493 0.399 1
Se48 0.601 0.007 0.189 1
# Space group: Ia-3d (230)
# Uncorrected formation energy: -12.1 eV/f.u.

=====

No. 2
# BaFeSe2 (PBE, relaxed)
data_BaFeSe2
_chemical_formula_sum 'Ba1 Fe1 Se2'
_symmetry_space_group_name_H-M 'P 1'
_symmetry_Int_Tables_number 1
_cell_length_a 3.595
_cell_length_b 3.595
_cell_length_c 7.425
_cell_angle_alpha 90.00
_cell_angle_beta 90.00
_cell_angle_gamma 90.00
loop_
_symmetry_equiv_pos_as_xyz
'x,y,z'
loop_
_atom_site_label
_atom_site_fract_x
_atom_site_fract_y
_atom_site_fract_z
_atom_site_occupancy
Se1 0.000 0.000 0.541 1
Se2 0.000 0.000 0.959 1
Ba1 0.500 0.500 0.250 1
Fe1 0.500 0.500 0.750 1
# E above lowest polymorph: 425 meV/atom
# Space group: P4/mmm (123)
# Uncorrected formation energy: -1.8 eV/f.u.